No. 1
4
Lattice="2.8786 0.0000 0.0000 0.0000 4.6276 0.0000 -1.4393 -2.3138 4.4944" Properties=species:S:1:pos:R:3 comment="SbRu3 (meta-GGA SCAN, PBEsol geometry)" dos_at_fermi_per_ev_cell=3.2 e_form_raw_ev_per_atom=0.218 e_tot_ev_per_atom=-35.22 space_group="No. 44" pbc="T T T"
Ru 1.4393 0.8855 0.0000
Ru 0.0000 -0.0404 2.0940
Ru 1.4393 2.2734 2.4004
Sb 0.0000 3.0516 0.0000

No. 2
4
Lattice="3.7887 0.0000 0.0000 0.0000 3.7887 0.0000 0.0000 0.0000 6.2388" Properties=species:S:1:pos:R:3 comment="SbRu (meta-GGA SCAN, PBEsol geometry)" dos_at_fermi_per_ev_cell=3.1 e_form_raw_ev_per_atom=0.182 e_tot_ev_per_atom=-35.86 space_group="No. 129" pbc="T T T"
Ru 0.0000 0.0000 0.0000
Ru 1.8943 1.8943 0.0000
Sb 1.8943 0.0000 1.8337
Sb 0.0000 1.8943 4.4051

No. 3
4
Lattice="3.1923 0.0000 0.0000 0.0000 5.3917 0.0000 -1.5961 -2.6959 4.7148" Properties=species:S:1:pos:R:3 comment="ScSb2Ru (meta-GGA SCAN, PBEsol geometry)" dos_at_fermi_per_ev_cell=2.7 e_form_raw_ev_per_atom=-0.166 e_tot_ev_per_atom=-31.06 space_group="No. 71" pbc="T T T"
Ru 1.5961 0.0000 0.0000
Sb 0.0000 0.0000 2.0835
Sb 1.5961 2.6959 2.6313
Sc 0.0000 2.6959 0.0000

No. 4
5
Lattice="-2.5028 -2.3531 3.7364 -0.5090 -4.1125 -2.9309 4.3862 -1.8199 1.7919" Properties=species:S:1:pos:R:3 comment="ScSb3Ru (meta-GGA SCAN, PBEsol geometry)" dos_at_fermi_per_ev_cell=5.6 e_form_raw_ev_per_atom=0.333 e_tot_ev_per_atom=-31.84 space_group="No. 221" pbc="T T T"
Sb -0.2545 -2.0562 -1.4655
Sb 2.1931 -0.9100 0.8959
Sb -1.2514 -1.1766 1.8682
Ru 0.0000 0.0000 0.0000
Sc 0.6872 -4.1428 1.2987

No. 5
4
Lattice="3.2411 0.0182 0.0000 -0.2239 3.2335 0.0000 0.0000 0.0000 7.2837" Properties=species:S:1:pos:R:3 comment="ScSb2Ru (meta-GGA SCAN, PBEsol geometry)" dos_at_fermi_per_ev_cell=1.8 e_form_raw_ev_per_atom=-0.271 e_tot_ev_per_atom=-31.17 space_group="No. 65" pbc="T T T"
Sb 0.0000 0.0000 5.6500
Sb 0.0000 0.0000 1.6337
Sc 1.5086 1.6258 3.6418
Ru 1.5086 1.6258 0.0000

No. 6
5
Lattice="-4.0556 -1.5969 2.2057 -0.6615 -3.2606 -3.5769 2.6415 -3.2683 2.4908" Properties=species:S:1:pos:R:3 comment="Sc3SbRu (meta-GGA SCAN, PBEsol geometry)" dos_at_fermi_per_ev_cell=4.7 e_form_raw_ev_per_atom=-0.381 e_tot_ev_per_atom=-23.34 space_group="No. 221" pbc="T T T"
Sc -2.0278 -0.7984 1.1029
Sc -0.3307 -1.6303 -1.7884
Sc 1.3208 -1.6341 1.2454
Sb -1.0378 -4.0629 0.5598
Ru 0.0000 0.0000 0.0000

No. 7
6
Lattice="-3.0301 4.5169 2.3766 -5.7442 -0.6595 1.3419 -1.7131 -0.2367 5.6781" Properties=species:S:1:pos:R:3 comment="ScSb4Ru (meta-GGA SCAN, PBEsol geometry)" dos_at_fermi_per_ev_cell=3.8 e_form_raw_ev_per_atom=0.670 e_tot_ev_per_atom=-32.35 space_group="No. 216" pbc="T T T"
Sb -3.9284 1.3562 3.5198
Sb -5.4485 3.6222 4.7121
Sb -4.7878 1.2375 6.3683
Sb -6.8101 1.0254 4.1930
Ru 0.0000 0.0000 0.0000
Sc -7.8655 2.7155 7.0475

No. 8
5
Lattice="-4.4775 -1.7374 -1.0883 1.7230 -4.6058 0.2640 -1.2505 -0.1584 5.3978" Properties=species:S:1:pos:R:3 comment="ScSb2TeRu (meta-GGA SCAN, PBEsol geometry)" dos_at_fermi_per_ev_cell=4.8 e_form_raw_ev_per_atom=0.241 e_tot_ev_per_atom=-31.93 space_group="No. 123" pbc="T T T"
Sb 0.8615 -2.3029 0.1320
Sb -2.2388 -0.8687 -0.5442
Ru 0.0000 0.0000 0.0000
Te -0.6253 -0.0792 2.6989
Sc -2.0025 -3.2508 2.2868

No. 9
5
Lattice="5.1723 0.0000 0.0000 0.0000 5.1723 0.0000 0.0000 0.0000 5.1723" Properties=species:S:1:pos:R:3 comment="SbRuSe3 (meta-GGA SCAN, PBEsol geometry)" dos_at_fermi_per_ev_cell=4.6 e_form_raw_ev_per_atom=1.136 e_tot_ev_per_atom=-25.33 space_group="No. 221" pbc="T T T"
Se 0.0000 2.5862 0.0000
Se 0.0000 0.0000 2.5862
Se 2.5862 0.0000 0.0000
Ru 2.5862 2.5862 2.5862
Sb 0.0000 0.0000 0.0000

No. 10
4
Lattice="-2.0200 -2.3609 -0.2841 1.5098 -1.5614 2.2400 -5.0351 3.5978 5.9018" Properties=species:S:1:pos:R:3 comment="Sb2RuSe (meta-GGA SCAN, PBEsol geometry)" dos_at_fermi_per_ev_cell=2.0 e_form_raw_ev_per_atom=0.140 e_tot_ev_per_atom=-32.22 space_group="No. 123" pbc="T T T"
Sb -1.5186 1.0851 1.7800
Sb -3.5165 2.5127 4.1218
Se -0.2551 -1.9612 0.9779
Ru -2.7727 -0.1623 3.9288

No. 11
4
Lattice="3.0070 0.0000 0.0000 0.0000 4.2406 0.0000 0.0000 0.0000 5.2036" Properties=species:S:1:pos:R:3 comment="SbRu2Se (meta-GGA SCAN, PBEsol geometry)" dos_at_fermi_per_ev_cell=4.2 e_form_raw_ev_per_atom=0.601 e_tot_ev_per_atom=-31.15 space_group="No. 47" e_above_lowest_polymorph_mev_per_atom=515 pbc="T T T"
Se 0.0000 2.1203 2.6018
Ru 1.5035 0.0000 2.6018
Ru 0.0000 0.0000 0.0000
Sb 1.5035 2.1203 0.0000

No. 12
5
Lattice="-3.6318 -2.8787 1.2418 2.9902 -2.6096 2.6958 -0.9421 2.8145 3.7696" Properties=species:S:1:pos:R:3 comment="SbRu3Se (meta-GGA SCAN, PBEsol geometry)" dos_at_fermi_per_ev_cell=4.7 e_form_raw_ev_per_atom=1.716 e_tot_ev_per_atom=-30.65 space_group="No. 221" pbc="T T T"
Ru -0.4710 1.4073 1.8848
Ru -1.8159 -1.4394 0.6209
Ru 1.4951 -1.3048 1.3479
Sb 0.0000 0.0000 0.0000
Se -0.7918 -1.3369 3.8536

No. 13
5
Lattice="5.5769 0.0000 0.0000 -2.7884 4.9182 0.0103 0.0000 3.1523 4.6005" Properties=species:S:1:pos:R:3 comment="Sb2RuSe2 (meta-GGA SCAN, PBEsol geometry)" dos_at_fermi_per_ev_cell=4.8 e_form_raw_ev_per_atom=0.655 e_tot_ev_per_atom=-29.25 space_group="No. 139" pbc="T T T"
Sb 2.7884 2.8030 1.4596
Sb 0.0000 5.2674 3.1512
Ru 0.0000 0.0000 0.0000
Se 2.7884 4.8233 3.4556
Se 0.0000 3.2472 1.1553

No. 14
4
Lattice="-1.9647 -1.2964 -1.8511 1.3917 -2.6266 0.3624 -4.7903 -1.6748 6.2571" Properties=species:S:1:pos:R:3 comment="SbRu2Se (meta-GGA SCAN, PBEsol geometry)" dos_at_fermi_per_ev_cell=2.2 e_form_raw_ev_per_atom=0.086 e_tot_ev_per_atom=-31.66 space_group="No. 99" e_above_lowest_polymorph_mev_per_atom=0 pbc="T T T"
Se -4.2771 -3.3566 4.4681
Ru -4.7892 -1.6744 6.2557
Ru -1.3886 -2.3468 0.6952
Sb -2.0940 -0.7321 2.7351

No. 15
4
Lattice="4.5422 0.0000 0.0000 2.2711 3.9336 0.0000 2.2711 1.3112 3.7087" Properties=species:S:1:pos:R:3 comment="SbRu2Se (meta-GGA SCAN, PBEsol geometry)" dos_at_fermi_per_ev_cell=4.8 e_form_raw_ev_per_atom=0.812 e_tot_ev_per_atom=-30.94 space_group="No. 216" e_above_lowest_polymorph_mev_per_atom=726 pbc="T T T"
Ru 6.8133 3.9336 2.7815
Ru 0.0000 0.0000 0.0000
Se 2.2711 1.3112 0.9272
Sb 4.5422 2.6224 1.8543

No. 16
3
Lattice="4.2418 0.0000 0.0000 2.1209 3.6735 0.0000 2.1209 1.2245 3.4634" Properties=species:S:1:pos:R:3 comment="SiSbRu (meta-GGA SCAN, PBEsol geometry)" dos_at_fermi_per_ev_cell=2.6 e_form_raw_ev_per_atom=0.506 e_tot_ev_per_atom=-26.86 space_group="No. 216" pbc="T T T"
Sb 4.2418 2.4490 1.7317
Ru 0.0000 0.0000 0.0000
Si 6.3627 3.6735 2.5976

No. 17
5
Lattice="-1.5084 -0.8772 3.9912 -1.2868 -3.9361 -1.3513 3.8786 -1.6470 1.1038" Properties=species:S:1:pos:R:3 comment="SiSbRu3 (meta-GGA SCAN, PBEsol geometry)" dos_at_fermi_per_ev_cell=4.4 e_form_raw_ev_per_atom=0.558 e_tot_ev_per_atom=-29.79 space_group="No. 221" pbc="T T T"
Si 0.0000 0.0000 0.0000
Sb 0.5417 -3.2301 1.8719
Ru 1.9393 -0.8235 0.5519
Ru -0.7542 -0.4386 1.9956
Ru -0.6434 -1.9680 -0.6757

No. 18
5
Lattice="3.5751 0.0000 0.0000 0.0000 3.5751 0.0000 -1.7876 -1.7876 6.0415" Properties=species:S:1:pos:R:3 comment="Si2SbRu2 (meta-GGA SCAN, PBEsol geometry)" dos_at_fermi_per_ev_cell=2.1 e_form_raw_ev_per_atom=-0.355 e_tot_ev_per_atom=-25.74 space_group="No. 139" pbc="T T T"
Ru 0.0000 0.0000 4.6103
Ru 1.7876 1.7876 1.4312
Si 0.0000 1.7876 3.0207
Si 1.7876 0.0000 3.0207
Sb 0.0000 0.0000 0.0000

No. 19
5
Lattice="5.4314 0.0000 0.0000 0.0000 5.4314 0.0000 0.0000 0.0000 5.4314" Properties=species:S:1:pos:R:3 comment="SnSb3Ru (meta-GGA SCAN, PBEsol geometry)" dos_at_fermi_per_ev_cell=4.7 e_form_raw_ev_per_atom=1.650 e_tot_ev_per_atom=-34.86 space_group="No. 221" pbc="T T T"
Sb 0.0000 2.7157 0.0000
Sb 0.0000 0.0000 2.7157
Sb 2.7157 0.0000 0.0000
Ru 2.7157 2.7157 2.7157
Sn 0.0000 0.0000 0.0000

No. 20
5
Lattice="4.8443 0.0000 0.0000 0.0000 4.8443 0.0000 0.0000 0.0000 4.8443" Properties=species:S:1:pos:R:3 comment="SrSbRu3 (meta-GGA SCAN, PBEsol geometry)" dos_at_fermi_per_ev_cell=5.3 e_form_raw_ev_per_atom=0.950 e_tot_ev_per_atom=-31.85 space_group="No. 221" pbc="T T T"
Sb 0.0000 0.0000 0.0000
Ru 0.0000 0.0000 2.4222
Ru 2.4222 0.0000 0.0000
Ru 0.0000 2.4222 0.0000
Sr 2.4222 2.4222 2.4222